A:
Computed, not measured: NaSbTe2Cl after structural relaxation at the GGA-PBE level of DFT.

Cell lengths 5.7264, 5.7264, 5.2065 Å; angles 90.00, 90.00, 90.00 degrees
Closest atoms and distances in Å follow each position.
Fractional positions:
Na: 0.5000 0.5000 0.5000  8 Te 3.87, 4 Sb 4.05
Sb: 0.0000 0.0000 0.5000  2 Cl 2.60
Te: 0.0000 0.5000 0.0000  2 Cl 2.86
Te: 0.5000 0.0000 0.0000  2 Cl 2.86
Cl: 0.0000 0.0000 0.0000  2 Sb 2.60, 4 Te 2.86

Summary:
Spin magnetization = 0.56 μB per cell

=====

B:
Computed, not measured: NaSbTe2Cl after structural relaxation at the GGA-PBE level of DFT.

Cell lengths 5.3815, 5.3815, 5.6410 Å; angles 90.00, 90.00, 90.00 degrees
Closest atoms and distances in Å follow each position.
Fractional positions:
Na: 0.0000 0.0000 0.0000  4 Te 2.69, 2 Sb 2.82
Cl: 0.5000 0.5000 0.5000  4 Sb 3.81, 8 Te 3.90
Te: 0.0000 0.5000 0.0000  2 Na 2.69
Te: 0.5000 0.0000 0.0000  2 Na 2.69
Sb: 0.0000 0.0000 0.5000  2 Na 2.82

Summary:
Spin magnetization = 0.00 μB per cell

=====

A is the most stable structure; the next one sits 244 meV/atom above it.

=====

A:
Computed, not measured: NaScCl3 after structural relaxation at the GGA-PBE level of DFT.

Cell lengths 5.0772, 5.0772, 5.0772 Å; angles 90.00, 90.00, 90.00 degrees
Closest atoms and distances in Å follow each position.
Fractional positions:
Na: 0.5000 0.5000 0.5000  12 Cl 3.59
Cl: 0.0000 0.5000 0.0000  2 Sc 2.54
Cl: 0.0000 0.0000 0.5000  2 Sc 2.54
Cl: 0.5000 0.0000 0.0000  2 Sc 2.54
Sc: 0.0000 0.0000 0.0000  6 Cl 2.54

Summary:
Spin magnetization = 0.87 μB per cell

=====

B:
Computed, not measured: NaScCl3 after structural relaxation at the GGA-PBE level of DFT.

Cell lengths 4.9736, 4.9736, 4.9736 Å; angles 90.00, 90.00, 90.00 degrees
Closest atoms and distances in Å follow each position.
Fractional positions:
Cl: 0.0000 0.5000 0.0000  2 Na 2.49
Cl: 0.5000 0.0000 0.0000  2 Na 2.49
Cl: 0.0000 0.0000 0.5000  2 Na 2.49
Na: 0.0000 0.0000 0.0000  6 Cl 2.49
Sc: 0.5000 0.5000 0.5000  12 Cl 3.52

Summary:
Spin magnetization = 1.00 μB per cell

=====

A is the most stable structure; the next one sits 658 meV/atom above it.

=====

A:
Computed, not measured: Na2ScCl after structural relaxation at the GGA-PBE level of DFT.

Cell lengths 9.3704, 9.3704, 7.1223 Å; angles 48.87, 48.87, 90.00 degrees
Closest atoms and distances in Å follow each position.
Fractional positions:
Sc: 0.7500 0.2500 0.5000  2 Cl 2.61
Sc: 0.0000 0.0000 0.0000  2 Cl 2.61
Na: 0.2095 0.6250 0.2500  2 Cl 2.88, 2 Na 3.06
Na: 0.3750 0.4595 0.7500  2 Cl 2.88, 2 Na 3.06
Na: 0.8750 0.7905 0.7500  2 Cl 2.88, 2 Na 3.06
Na: 0.5405 0.1250 0.2500  2 Cl 2.88, 2 Na 3.06
Cl: 0.2500 0.7500 0.5000  2 Sc 2.61, 4 Na 2.88
Cl: 0.5000 0.5000 0.0000  2 Sc 2.61, 4 Na 2.88

Summary:
Spin magnetization = 2.13 μB per cell

=====

B:
Computed, not measured: Na2ScCl after structural relaxation at the GGA-PBE level of DFT.

Cell lengths 5.5942, 5.5942, 5.5942 Å; angles 60.00, 60.00, 60.00 degrees
Closest atoms and distances in Å follow each position.
Fractional positions:
Na: 0.2500 0.2500 0.2500  4 Sc 3.43, 4 Cl 3.43
Na: 0.7500 0.7500 0.7500  4 Sc 3.43, 4 Cl 3.43
Cl: 0.0000 0.0000 0.0000  8 Na 3.43
Sc: 0.5000 0.5000 0.5000  8 Na 3.43

Summary:
Spin magnetization = 1.90 μB per cell

=====

A is the most stable structure; the next one sits 389 meV/atom above it.

=====

A:
Computed, not measured: NaScCl2 after structural relaxation at the GGA-PBE level of DFT.

Cell lengths 8.5137, 8.5137, 8.5137 Å; angles 25.76, 25.76, 25.76 degrees
Closest atoms and distances in Å follow each position.
Fractional positions:
Sc: 0.0000 0.0000 0.0000  2 Cl 2.46
Na: 0.5000 0.5000 0.5000  6 Cl 2.74
Cl: 0.0997 0.0997 0.0997  1 Sc 2.46, 3 Na 2.74
Cl: 0.9003 0.9003 0.9003  1 Sc 2.46, 3 Na 2.74

Summary:
Spin magnetization = 0.00 μB per cell

=====

B:
Computed, not measured: NaScCl2 after structural relaxation at the GGA-PBE level of DFT.

Cell lengths 6.4447, 6.4447, 7.1127 Å; angles 63.06, 63.06, 90.00 degrees
Closest atoms and distances in Å follow each position.
Fractional positions:
Sc: 0.7500 0.2500 0.5000  4 Cl 2.61
Sc: 0.0000 0.0000 0.0000  4 Cl 2.61
Na: 0.2500 0.7500 0.5000  4 Cl 2.71
Na: 0.5000 0.5000 0.0000  4 Cl 2.71
Cl: 0.6376 0.1250 0.2500  2 Sc 2.61, 2 Na 2.71
Cl: 0.3750 0.3624 0.7500  2 Sc 2.61, 2 Na 2.71
Cl: 0.8750 0.8876 0.7500  2 Sc 2.61, 2 Na 2.71
Cl: 0.1124 0.6250 0.2500  2 Sc 2.61, 2 Na 2.71

Summary:
Spin magnetization = 3.75 μB per cell

=====

A is the most stable structure; the next one sits 233 meV/atom above it.

=====

A:
Computed, not measured: Na3ScCl after structural relaxation at the GGA-PBE level of DFT.

Cell lengths 6.4438, 6.4438, 6.4438 Å; angles 90.00, 90.00, 90.00 degrees
Closest atoms and distances in Å follow each position.
Fractional positions:
Na: 0.0000 0.0000 0.5000  2 Sc 3.22
Na: 0.5000 0.0000 0.0000  2 Sc 3.22
Na: 0.0000 0.5000 0.0000  2 Sc 3.22
Sc: 0.0000 0.0000 0.0000  6 Na 3.22
Cl: 0.5000 0.5000 0.5000  12 Na 4.56

Summary:
Spin magnetization = 2.79 μB per cell

=====

B:
Computed, not measured: Na3ScCl after structural relaxation at the GGA-PBE level of DFT.

Cell lengths 5.4514, 5.4514, 5.4514 Å; angles 90.00, 90.00, 90.00 degrees
Closest atoms and distances in Å follow each position.
Fractional positions:
Sc: 0.5000 0.5000 0.5000  12 Na 3.85
Na: 0.0000 0.0000 0.5000  2 Cl 2.73
Na: 0.5000 0.0000 0.0000  2 Cl 2.73
Na: 0.0000 0.5000 0.0000  2 Cl 2.73
Cl: 0.0000 0.0000 0.0000  6 Na 2.73

Summary:
Spin magnetization = 1.54 μB per cell

=====

B is the most stable structure; the next one sits 629 meV/atom above it.

=====

A:
Computed, not measured: NaScCl4 after structural relaxation at the GGA-PBE level of DFT.

Cell lengths 6.3542, 6.4289, 15.6933 Å; angles 90.00, 90.00, 90.00 degrees
Closest atoms and distances in Å follow each position.
Fractional positions:
Na: 0.5000 0.2500 0.8203  6 Cl 2.84-2.94
Na: 0.0000 0.2500 0.3203  6 Cl 2.84-2.94
Na: 0.0000 0.7500 0.6797  6 Cl 2.84-2.94
Na: 0.5000 0.7500 0.1797  6 Cl 2.84-2.94
Cl: 0.2687 0.6064 0.3229  1 Sc 2.41
Cl: 0.7212 0.9283 0.5493  2 Sc 2.52-2.61
Cl: 0.7313 0.3936 0.6771  1 Sc 2.41
Cl: 0.2313 0.1064 0.1771  1 Sc 2.41
Cl: 0.2788 0.0717 0.4507  2 Sc 2.52-2.61
Cl: 0.2212 0.0717 0.9507  2 Sc 2.52-2.61
Cl: 0.2313 0.6064 0.8229  1 Sc 2.41
Cl: 0.7687 0.3936 0.1771  1 Sc 2.41
Cl: 0.7212 0.4283 0.4507  2 Sc 2.52-2.61
Cl: 0.7788 0.4283 0.9507  2 Sc 2.52-2.61
Cl: 0.7313 0.8936 0.3229  1 Sc 2.41
Cl: 0.2212 0.5717 0.0493  2 Sc 2.52-2.61
Cl: 0.7687 0.8936 0.8229  1 Sc 2.41
Cl: 0.7788 0.9283 0.0493  2 Sc 2.52-2.61
Cl: 0.2788 0.5717 0.5493  2 Sc 2.52-2.61
Cl: 0.2687 0.1064 0.6771  1 Sc 2.41
Sc: 0.5000 0.7500 0.4298  6 Cl 2.41-2.61
Sc: 0.5000 0.2500 0.5702  6 Cl 2.41-2.61
Sc: 0.0000 0.2500 0.0702  6 Cl 2.41-2.61
Sc: 0.0000 0.7500 0.9298  6 Cl 2.41-2.61

Summary:
Spin magnetization = 0.00 μB per cell

=====

B:
Computed, not measured: NaScCl4 after structural relaxation at the GGA-PBE level of DFT.

Cell lengths 3.8023, 8.8544, 10.6646 Å; angles 82.99, 79.73, 77.60 degrees
Closest atoms and distances in Å follow each position.
Fractional positions:
Na: 0.7495 0.7500 0.2500  6 Cl 2.77-2.95
Na: 0.2505 0.2500 0.7500  6 Cl 2.77-2.95
Cl: 0.6631 0.2315 0.9422  1 Sc 2.45
Cl: 0.1631 0.7315 0.4422  1 Sc 2.45
Cl: 0.4520 0.9366 0.6597  2 Sc 2.56
Cl: 0.8369 0.2685 0.5578  1 Sc 2.45
Cl: 0.9518 0.4366 0.1597  2 Sc 2.56
Cl: 0.0482 0.5634 0.8403  2 Sc 2.56
Cl: 0.3369 0.7685 0.0578  1 Sc 2.45
Cl: 0.5480 0.0634 0.3403  2 Sc 2.56
Sc: 0.5000 0.5000 0.0000  6 Cl 2.45-2.56
Sc: 0.0000 0.0000 0.5000  6 Cl 2.45-2.56

Summary:
Spin magnetization = 0.00 μB per cell

=====

A is the most stable structure; the next one sits 21 meV/atom above it.

=====

A:
Computed, not measured: NaScVCl2 after structural relaxation at the GGA-PBE level of DFT.

Cell lengths 4.8600, 5.6214, 4.8600 Å; angles 90.00, 90.00, 90.00 degrees
Closest atoms and distances in Å follow each position.
Fractional positions:
Sc: 0.5000 0.5000 0.5000  4 V 3.44, 8 Cl 3.72
Cl: 0.0000 0.0000 0.5000  2 Na 2.43
Cl: 0.5000 0.0000 0.0000  2 Na 2.43
Na: 0.0000 0.0000 0.0000  4 Cl 2.43
V: 0.0000 0.5000 0.0000  2 Na 2.81

Summary:
Spin magnetization = 5.05 μB per cell

=====

B:
Computed, not measured: NaScVCl2 after structural relaxation at the GGA-PBE level of DFT.

Cell lengths 4.8616, 6.0398, 4.8616 Å; angles 90.00, 90.00, 90.00 degrees
Closest atoms and distances in Å follow each position.
Fractional positions:
Na: 0.0000 0.0000 0.0000  4 Cl 2.43
V: 0.5000 0.5000 0.5000  4 Sc 3.44
Sc: 0.0000 0.5000 0.0000  2 Na 3.02
Cl: 0.5000 0.0000 0.0000  2 Na 2.43
Cl: 0.0000 0.0000 0.5000  2 Na 2.43

Summary:
Spin magnetization = 4.96 μB per cell

=====

A is the most stable structure; the next one sits 138 meV/atom above it.

=====

A:
Computed, not measured: NaSe3Cl after structural relaxation at the GGA-PBE level of DFT.

Cell lengths 5.1048, 5.1048, 5.1048 Å; angles 90.00, 90.00, 90.00 degrees
Closest atoms and distances in Å follow each position.
Fractional positions:
Se: 0.0000 0.0000 0.5000  2 Cl 2.55
Se: 0.5000 0.0000 0.0000  2 Cl 2.55
Se: 0.0000 0.5000 0.0000  2 Cl 2.55
Cl: 0.0000 0.0000 0.0000  6 Se 2.55
Na: 0.5000 0.5000 0.5000  12 Se 3.61

Summary:
Spin magnetization = 0.00 μB per cell

=====

B:
Computed, not measured: NaSe3Cl after structural relaxation at the GGA-PBE level of DFT.

Cell lengths 5.1658, 5.1658, 5.1658 Å; angles 90.00, 90.00, 90.00 degrees
Closest atoms and distances in Å follow each position.
Fractional positions:
Se: 0.5000 0.0000 0.0000  2 Na 2.58
Se: 0.0000 0.5000 0.0000  2 Na 2.58
Se: 0.0000 0.0000 0.5000  2 Na 2.58
Na: 0.0000 0.0000 0.0000  6 Se 2.58
Cl: 0.5000 0.5000 0.5000  12 Se 3.65

Summary:
Spin magnetization = 0.00 μB per cell

=====

A is the most stable structure; the next one sits 450 meV/atom above it.

=====

A:
Computed, not measured: Na2SeCl6 after structural relaxation at the GGA-PBE level of DFT.

Cell lengths 6.7192, 7.0612, 9.8952 Å; angles 90.00, 92.43, 90.00 degrees
Closest atoms and distances in Å follow each position.
Fractional positions:
Cl: 0.1316 0.0449 0.7307  1 Se 2.43
Cl: 0.7109 0.1882 0.5544  1 Se 2.43
Cl: 0.8684 0.9551 0.2693  1 Se 2.43
Cl: 0.8267 0.7148 0.5681  1 Se 2.44
Cl: 0.7891 0.6882 0.9456  1 Se 2.43
Cl: 0.2109 0.3118 0.0544  1 Se 2.43
Cl: 0.3267 0.7852 0.0681  1 Se 2.44
Cl: 0.6733 0.2148 0.9319  1 Se 2.44
Cl: 0.6316 0.4551 0.2307  1 Se 2.43
Cl: 0.1733 0.2852 0.4319  1 Se 2.44
Cl: 0.2891 0.8118 0.4456  1 Se 2.43
Cl: 0.3684 0.5449 0.7693  1 Se 2.43
Se: 0.0000 0.0000 0.5000  6 Cl 2.43-2.44
Se: 0.5000 0.5000 0.0000  6 Cl 2.43-2.44
Na: 0.4645 0.0864 0.2682  6 Cl 2.87-3.10
Na: 0.0355 0.5864 0.2318  6 Cl 2.87-3.10
Na: 0.5355 0.9136 0.7318  6 Cl 2.87-3.10
Na: 0.9645 0.4136 0.7682  6 Cl 2.87-3.10

Summary:
Spin magnetization = 0.00 μB per cell

=====

B:
Computed, not measured: Na2SeCl6 after structural relaxation at the GGA-PBE level of DFT.

Cell lengths 6.3977, 6.3977, 12.0706 Å; angles 90.00, 90.00, 90.00 degrees
Closest atoms and distances in Å follow each position.
Fractional positions:
Cl: 0.7298 0.7298 0.0000  1 Se 2.45
Cl: 0.2298 0.7702 0.5000  1 Se 2.45
Cl: 0.8149 0.1851 0.1467  1 Se 2.44
Cl: 0.6851 0.6851 0.6467  1 Se 2.44
Cl: 0.3149 0.3149 0.3533  1 Se 2.44
Cl: 0.8149 0.1851 0.8533  1 Se 2.44
Cl: 0.6851 0.6851 0.3533  1 Se 2.44
Cl: 0.1851 0.8149 0.8533  1 Se 2.44
Cl: 0.3149 0.3149 0.6467  1 Se 2.44
Cl: 0.2702 0.2702 0.0000  1 Se 2.45
Cl: 0.1851 0.8149 0.1467  1 Se 2.44
Cl: 0.7702 0.2298 0.5000  1 Se 2.45
Se: 0.0000 0.0000 0.0000  6 Cl 2.44-2.45
Se: 0.5000 0.5000 0.5000  6 Cl 2.44-2.45
Na: 0.5000 0.5000 0.1662  6 Cl 2.81-2.89
Na: 0.0000 0.0000 0.6662  6 Cl 2.81-2.89
Na: 0.5000 0.5000 0.8338  6 Cl 2.81-2.89
Na: 0.0000 0.0000 0.3338  6 Cl 2.81-2.89

Summary:
Spin magnetization = 0.00 μB per cell

=====

A is the most stable structure; the next one sits 31 meV/atom above it.

=====

A:
Computed, not measured: Na2SeCl after structural relaxation at the GGA-PBE level of DFT.

Cell lengths 7.3145, 7.3145, 6.7485 Å; angles 57.18, 57.18, 90.00 degrees
Closest atoms and distances in Å follow each position.
Fractional positions:
Na: 0.8750 0.8470 0.7500  2 Cl 2.67, 2 Se 2.94
Na: 0.1530 0.6250 0.2500  2 Cl 2.67, 2 Se 2.94
Na: 0.5970 0.1250 0.2500  2 Cl 2.67, 2 Se 2.94
Na: 0.3750 0.4030 0.7500  2 Cl 2.67, 2 Se 2.94
Cl: 0.2500 0.7500 0.5000  4 Na 2.67
Cl: 0.5000 0.5000 0.0000  4 Na 2.67
Se: 0.0000 0.0000 0.0000  4 Na 2.94
Se: 0.7500 0.2500 0.5000  4 Na 2.94

Summary:
Spin magnetization = 2.00 μB per cell

=====

B:
Computed, not measured: Na2SeCl after structural relaxation at the GGA-PBE level of DFT.

Cell lengths 5.0883, 5.0883, 5.0883 Å; angles 60.00, 60.00, 60.00 degrees
Closest atoms and distances in Å follow each position.
Fractional positions:
Na: 0.7500 0.7500 0.7500  4 Cl 3.12, 4 Se 3.12
Na: 0.2500 0.2500 0.2500  4 Cl 3.12, 4 Se 3.12
Se: 0.5000 0.5000 0.5000  8 Na 3.12
Cl: 0.0000 0.0000 0.0000  8 Na 3.12

Summary:
Spin magnetization = 1.00 μB per cell

=====

A is the most stable structure; the next one sits 76 meV/atom above it.

=====

A:
Computed, not measured: NaSiCl2 after structural relaxation at the GGA-PBE level of DFT.

Cell lengths 5.4314, 5.4314, 8.6358 Å; angles 71.67, 71.67, 90.00 degrees
Closest atoms and distances in Å follow each position.
Fractional positions:
Na: 0.5000 0.5000 0.0000  4 Cl 2.79
Na: 0.2500 0.7500 0.5000  4 Cl 2.79
Si: 0.7500 0.2500 0.5000  4 Cl 2.66
Si: 0.0000 0.0000 0.0000  4 Cl 2.66
Cl: 0.1013 0.6250 0.2500  2 Si 2.66, 2 Na 2.79
Cl: 0.3750 0.3513 0.7500  2 Si 2.66, 2 Na 2.79
Cl: 0.6487 0.1250 0.2500  2 Si 2.66, 2 Na 2.79
Cl: 0.8750 0.8987 0.7500  2 Si 2.66, 2 Na 2.79

Summary:
Spin magnetization = 0.00 μB per cell

=====

B:
Computed, not measured: NaSiCl2 after structural relaxation at the GGA-PBE level of DFT.

Cell lengths 8.5731, 8.5731, 8.5731 Å; angles 24.58, 24.58, 24.58 degrees
Closest atoms and distances in Å follow each position.
Fractional positions:
Cl: 0.9026 0.9026 0.9026  1 Si 2.43
Cl: 0.0974 0.0974 0.0974  1 Si 2.43
Si: 0.0000 0.0000 0.0000  2 Cl 2.43
Na: 0.5000 0.5000 0.5000  6 Cl 2.72

Summary:
Spin magnetization = 0.00 μB per cell

=====

B is the most stable structure; the next one sits 225 meV/atom above it.